Material: Sc2InSb
Method: DFT, GGA-PBE
State: optimized geometry

Unit cell a=3.7646 b=3.7843 c=6.5244 alpha=90.00 beta=90.13 gamma=90.00
Fractional coordinates of all 4 atoms:
1 Sc 0.9996 0.0000 0.2401
2 Sc 0.0004 0.0000 0.7599
3 In 0.5000 0.5000 0.5000
4 Sb 0.5000 0.5000 0.0000

Output
As for the symmetry: No. 10. For the uncorrected formation energy, the calculation gives -528 meV/atom. As for the energy above the most stable polymorph in this dataset: 73 meV per atom.



Material: ThSbHRh
Method: DFT, GGA-PBE
State: optimized geometry

Unit cell a=4.5679 b=4.5679 c=4.0086 alpha=90.00 beta=90.00 gamma=120.00
Fractional coordinates of all 4 atoms:
1 Th 0.0000 0.0000 0.0000
2 Sb 0.6667 0.3333 0.5164
3 H 0.3333 0.6667 0.9903
4 Rh 0.3333 0.6667 0.4348

Output
As for the symmetry: No. 156. For the total energy, the calculation gives -25.680 eV/f.u.



Material: Ba3Tl4Sn2
Method: DFT, GGA-PBE
State: optimized geometry

Unit cell a=7.0143 b=7.0143 c=10.2436 alpha=104.63 beta=104.63 gamma=42.69
Fractional coordinates of all 9 atoms:
1 Ba 0.0000 0.0000 0.0000
2 Ba 0.3178 0.3178 0.3540
3 Ba 0.6822 0.6822 0.6460
4 Tl 0.0036 0.0036 0.3453
5 Tl 0.2465 0.2465 0.9141
6 Tl 0.7535 0.7535 0.0859
7 Tl 0.9964 0.9964 0.6547
8 Sn 0.3881 0.3881 0.7213
9 Sn 0.6119 0.6119 0.2787

Output
As for the formation energy: -382 kJ/mol of formula units. As for the symmetry: No. 12. As for the energy above the most stable polymorph in this dataset: 0 meV per atom.



Material: LaIr2Os2
Method: DFT, GGA-PBE
State: optimized geometry

Unit cell a=7.8256 b=7.8256 c=2.8171 alpha=90.00 beta=90.00 gamma=90.00
Fractional coordinates of all 10 atoms:
1 La 0.0000 0.0000 0.0000
2 La 0.5000 0.5000 0.0000
3 Ir 0.1783 0.3217 0.5000
4 Ir 0.3217 0.8217 0.5000
5 Ir 0.6783 0.1783 0.5000
6 Ir 0.8217 0.6783 0.5000
7 Os 0.1190 0.6190 0.0000
8 Os 0.3810 0.1190 0.0000
9 Os 0.6190 0.8810 0.0000
10 Os 0.8810 0.3810 0.0000

Output
As for the formation energy: 13 kJ/mol of formula units. As for the symmetry: No. 127. As for the energy above the most stable polymorph in this dataset: 41 meV per atom.



Number 1: DOS at the Fermi energy 2.960 states/eV/f.u.. Number 2: DOS at the Fermi energy 0.704 states/eV/f.u.. Number 3: DOS at the Fermi energy 3.674 states/eV/f.u.. Number 4: DOS at the Fermi energy 5.409 states/eV/f.u..